[1]
Below is crystalline CuRu2Pb at its relaxed geometry, with properties calculated at the GGA-PBE level.

- Space group: No. 119
- ΔE_f: 0.521 eV per atom

Cell: 4.0777 4.0777 7.6508 Å, 90.00 90.00 90.00°
Closest atoms and distances in Å follow each position.
Element x y z (fractional)
Cu: 0.0000 0.0000 0.0000  4 Pb 2.80, 8 Ru 2.80-2.88
Cu: 0.5000 0.5000 0.5000  4 Pb 2.80, 8 Ru 2.80-2.88
Ru: 0.0000 0.0000 0.5000  4 Pb 2.80, 4 Ru 2.80, 4 Cu 2.88
Ru: 0.0000 0.5000 0.2500  4 Ru 2.80, 4 Cu 2.80, 4 Pb 2.88
Ru: 0.5000 0.0000 0.7500  4 Ru 2.80, 4 Cu 2.80, 4 Pb 2.88
Ru: 0.5000 0.5000 0.0000  4 Pb 2.80, 4 Ru 2.80, 4 Cu 2.88
Pb: 0.0000 0.5000 0.7500  8 Ru 2.80-2.88, 4 Cu 2.80
Pb: 0.5000 0.0000 0.2500  8 Ru 2.80-2.88, 4 Cu 2.80



[2]
Below is crystalline Li3ZnAs2 at its relaxed geometry, with properties calculated at the GGA-PBE level.

- Space group: No. 72
- ΔE_f: -0.513 eV per atom

Cell: 7.7891 7.7891 7.7891 Å, 138.75 60.10 138.30°
Closest atoms and distances in Å follow each position.
Element x y z (fractional)
Li: 0.1788 0.7447 0.9235  5 As 2.65-2.87
Li: 0.2500 0.2500 0.0000  4 As 2.58, 2 Zn 2.74, 2 Li 2.77
Li: 0.3212 0.2447 0.5659  5 As 2.65-2.87
Li: 0.6788 0.7553 0.4341  5 As 2.65-2.87
Li: 0.7500 0.7500 0.0000  4 As 2.58, 2 Zn 2.74, 2 Li 2.77
Li: 0.8212 0.2553 0.0765  5 As 2.65-2.87
Zn: 0.2500 0.7500 0.5000  4 As 2.57, 2 Li 2.74, 2 Zn 2.77
Zn: 0.7500 0.2500 0.5000  4 As 2.57, 2 Li 2.74, 2 Zn 2.77
As: 0.1247 0.2510 0.3757  2 Zn 2.57, 7 Li 2.58-2.87
As: 0.3753 0.7510 0.1263  2 Zn 2.57, 7 Li 2.58-2.87
As: 0.6247 0.2490 0.8737  2 Zn 2.57, 7 Li 2.58-2.87
As: 0.8753 0.7490 0.6243  2 Zn 2.57, 7 Li 2.58-2.87



[3]
Below is crystalline PrNd2Sm2Dy at its relaxed geometry, with properties calculated at the GGA-PBE level.

- Space group: No. 58
- ΔE_f: 0.247 eV per atom

Cell: 6.7009 18.1418 3.4546 Å, 90.00 90.00 90.00°
Closest atoms and distances in Å follow each position.
Element x y z (fractional)
Pr: 0.0000 0.0000 0.0000  2 Sm 3.27, 2 Pr 3.45
Pr: 0.5000 0.5000 0.5000  2 Sm 3.27, 2 Pr 3.45
Nd: 0.2243 0.1844 0.0000  4 Sm 3.38-3.50, 2 Nd 3.45, 1 Pr 3.67
Nd: 0.2757 0.6844 0.5000  4 Sm 3.38-3.50, 2 Nd 3.45, 1 Pr 3.67
Nd: 0.7243 0.3156 0.5000  4 Sm 3.38-3.50, 2 Nd 3.45, 1 Pr 3.67
Nd: 0.7757 0.8156 0.0000  4 Sm 3.38-3.50, 2 Nd 3.45, 1 Pr 3.67
Sm: 0.2193 0.3523 0.5000  1 Pr 3.27, 4 Nd 3.38-3.50, 2 Sm 3.45, 2 Dy 3.51
Sm: 0.2807 0.8523 0.0000  1 Pr 3.27, 4 Nd 3.38-3.50, 2 Sm 3.45, 2 Dy 3.51
Sm: 0.7193 0.1477 0.0000  1 Pr 3.27, 4 Nd 3.38-3.50, 2 Sm 3.45, 2 Dy 3.51
Sm: 0.7807 0.6477 0.5000  1 Pr 3.27, 4 Nd 3.38-3.50, 2 Sm 3.45, 2 Dy 3.51
Dy: 0.0000 0.5000 0.0000  2 Dy 3.45, 4 Sm 3.51, 4 Pr 3.77
Dy: 0.5000 0.0000 0.5000  2 Dy 3.45, 4 Sm 3.51, 4 Pr 3.77



[4]
Below is crystalline Pm4AgTe2As at its relaxed geometry, with properties calculated at the GGA-PBE level.

- Formation energy without anion corrections: -1141 meV per atom
- Space group: No. 10

Cell: 7.5808 4.3202 7.6492 Å, 90.00 108.65 90.00°
Closest atoms and distances in Å follow each position.
Element x y z (fractional)
Pm: 0.2286 0.0000 0.2325  2 As 2.98, 1 Ag 3.08, 3 Te 3.12-3.22
Pm: 0.2371 0.5000 0.7549  1 As 2.98, 2 Ag 3.08, 3 Te 3.12-3.20
Pm: 0.7629 0.5000 0.2451  1 As 2.98, 2 Ag 3.08, 3 Te 3.12-3.20
Pm: 0.7714 0.0000 0.7675  2 As 2.98, 1 Ag 3.08, 3 Te 3.12-3.22
Ag: 0.0000 0.0000 0.5000  6 Pm 3.08
Te: 0.5000 0.0000 0.0000  6 Pm 3.12
Te: 0.5000 0.5000 0.5000  6 Pm 3.20-3.22
As: 0.0000 0.5000 0.0000  6 Pm 2.98



[5]
Below is crystalline ErAl2 at its relaxed geometry, with properties calculated at the GGA-PBE level.

- Space group: No. 227
- ΔE_f: -0.516 eV per atom

Cell: 5.5300 5.5300 5.5300 Å, 60.00 60.00 60.00°
Closest atoms and distances in Å follow each position.
Element x y z (fractional)
Er: 0.1250 0.1250 0.1250  12 Al 3.24, 4 Er 3.39
Er: 0.8750 0.8750 0.8750  12 Al 3.24, 4 Er 3.39
Al: 0.0000 0.5000 0.5000  6 Al 2.76
Al: 0.5000 0.0000 0.5000  6 Al 2.76
Al: 0.5000 0.5000 0.0000  6 Al 2.76
Al: 0.5000 0.5000 0.5000  6 Al 2.76



[6]
Below is crystalline NdCu3Si at its relaxed geometry, with properties calculated at the GGA-PBE level.

- Formation energy without anion corrections: -47 meV per atom
- Space group: No. 221

Cell: 4.5002 4.5002 4.5002 Å, 90.00 90.00 90.00°
Closest atoms and distances in Å follow each position.
Element x y z (fractional)
Nd: 0.0000 0.0000 0.0000  12 Cu 3.18
Cu: 0.0000 0.5000 0.5000  2 Si 2.25
Cu: 0.5000 0.0000 0.5000  2 Si 2.25
Cu: 0.5000 0.5000 0.0000  2 Si 2.25
Si: 0.5000 0.5000 0.5000  6 Cu 2.25



[7]
Below is crystalline HfScIrO6 at its relaxed geometry, with properties calculated at the GGA-PBE level.

- Formation energy without anion corrections: -2317 meV per atom
- Space group: No. 163

Cell: 5.2097 5.2097 9.2827 Å, 90.00 90.00 120.00°
Closest atoms and distances in Å follow each position.
Element x y z (fractional)
Hf: 0.3333 0.6667 0.2500  6 O 2.09
Hf: 0.6667 0.3333 0.7500  6 O 2.09
Sc: 0.0000 0.0000 0.0000  6 O 2.15
Sc: 0.0000 0.0000 0.5000  6 O 2.15
Ir: 0.3333 0.6667 0.7500  6 O 2.00
Ir: 0.6667 0.3333 0.2500  6 O 2.00
O: 0.0137 0.3468 0.6313  1 Ir 2.00, 1 Hf 2.09, 1 Sc 2.15
O: 0.0137 0.6670 0.8687  1 Ir 2.00, 1 Hf 2.09, 1 Sc 2.15
O: 0.3330 0.3468 0.8687  1 Ir 2.00, 1 Hf 2.09, 1 Sc 2.15
O: 0.3330 0.9863 0.6313  1 Ir 2.00, 1 Hf 2.09, 1 Sc 2.15
O: 0.3468 0.0137 0.1313  1 Ir 2.00, 1 Hf 2.09, 1 Sc 2.15
O: 0.3468 0.3330 0.3687  1 Ir 2.00, 1 Hf 2.09, 1 Sc 2.15
O: 0.6532 0.6670 0.6313  1 Ir 2.00, 1 Hf 2.09, 1 Sc 2.15
O: 0.6532 0.9863 0.8687  1 Ir 2.00, 1 Hf 2.09, 1 Sc 2.15
O: 0.6670 0.0137 0.3687  1 Ir 2.00, 1 Hf 2.09, 1 Sc 2.15
O: 0.6670 0.6532 0.1313  1 Ir 2.00, 1 Hf 2.09, 1 Sc 2.15
O: 0.9863 0.3330 0.1313  1 Ir 2.00, 1 Hf 2.09, 1 Sc 2.15
O: 0.9863 0.6532 0.3687  1 Ir 2.00, 1 Hf 2.09, 1 Sc 2.15



[8]
Below is crystalline NbSnI2O at its relaxed geometry, with properties calculated at the GGA-PBE level.

- Formation energy without anion corrections: 336 meV per atom
- Space group: No. 123
- Energy above the most stable polymorph in this dataset: 0.8515 eV per atom

Cell: 6.0763 6.0763 4.0095 Å, 90.00 90.00 90.00°
Closest atoms and distances in Å follow each position.
Element x y z (fractional)
Nb: 0.0000 0.0000 0.0000  8 I 3.64, 2 Nb 4.01
Sn: 0.5000 0.5000 0.5000  2 O 2.00
I: 0.0000 0.5000 0.5000  2 Sn 3.04
I: 0.5000 0.0000 0.5000  2 Sn 3.04
O: 0.5000 0.5000 0.0000  2 Sn 2.00



[9]
Below is crystalline SrMgIr2 at its relaxed geometry, with properties calculated at the GGA-PBE level.

- Space group: No. 166
- ΔE_f: 0.272 eV per atom

Cell: 3.1004 3.1004 26.8607 Å, 90.00 90.00 120.00°
Closest atoms and distances in Å follow each position.
Element x y z (fractional)
Sr: 0.0000 0.0000 0.0000  6 Ir 3.03, 6 Sr 3.10
Sr: 0.3333 0.6667 0.6667  6 Ir 3.03, 6 Sr 3.10
Sr: 0.6667 0.3333 0.3333  6 Ir 3.03, 6 Sr 3.10
Mg: 0.0000 0.0000 0.5000  6 Ir 2.71
Mg: 0.3333 0.6667 0.1667  6 Ir 2.71
Mg: 0.6667 0.3333 0.8333  6 Ir 2.71
Ir: 0.0000 0.0000 0.2424  3 Mg 2.71, 3 Sr 3.03
Ir: 0.0000 0.0000 0.7576  3 Mg 2.71, 3 Sr 3.03
Ir: 0.3333 0.6667 0.4243  3 Mg 2.71, 3 Sr 3.03
Ir: 0.3333 0.6667 0.9091  3 Mg 2.71, 3 Sr 3.03
Ir: 0.6667 0.3333 0.0909  3 Mg 2.71, 3 Sr 3.03
Ir: 0.6667 0.3333 0.5757  3 Mg 2.71, 3 Sr 3.03



[10]
Below is crystalline SbOsRu4 at its relaxed geometry, with properties calculated at the GGA-PBE level.

- Formation energy without anion corrections: 785 meV per atom
- Space group: No. 216

Cell: 5.1211 5.1211 5.1211 Å, 60.00 60.00 60.00°
Closest atoms and distances in Å follow each position.
Element x y z (fractional)
Sb: 0.0000 0.0000 0.0000  12 Ru 3.00, 4 Os 3.14
Os: 0.2500 0.2500 0.2500  12 Ru 3.00, 4 Sb 3.14
Ru: 0.1275 0.6242 0.6242  6 Ru 2.54-2.58
Ru: 0.6242 0.1275 0.6242  6 Ru 2.54-2.58
Ru: 0.6242 0.6242 0.1275  6 Ru 2.54-2.58
Ru: 0.6242 0.6242 0.6242  6 Ru 2.54-2.58



Asked for energy across the records above, the calculation gives -6.07, -3.23, -4.48, -5.24, -4.53, -4.54, -8.42, -4.09, -4.98, -7.96 eV/atom in order.
Asked for density of states at the Fermi level across the records above, the calculation gives 10.88, 4.64, 21.13, 4.39, 4.10, 4.01, 8.63, 3.61, 14.88, 10.57 states/eV per cell in order.